TbNpTc4 | PBE | optimized geometry

Lattice parameters (Å, degrees): 5.388 5.388 5.388 60.00 60.00 60.00
Each line ends with the local moment (μB).
Fractional coordinates of all 6 atoms:
Np  0.250  0.250  0.250  3.53
Tb  0.000  0.000  0.000  0.06
Tc  0.625  0.625  0.125  0.12
Tc  0.625  0.125  0.625  0.12
Tc  0.625  0.625  0.625  0.12
Tc  0.125  0.625  0.625  0.12

Summary:
Total energy: -9.76 eV/atom
DOS at the Fermi energy: 15.078 states/eV/f.u.
E_form: 0.075 eV per atom
Magnetic moment: 0.741 μB per atom
Volume: 110.6 Å³/cell
Symmetry: F-43m, No. 216